A plane-wave DFT calculation with PBE+U was carried out for a geometry-optimized CaMoRuO6 structure.

The structure belongs to space group P4_2nm (No. 102); the cell edges are 4.859, 4.859 and 9.476 Å and the angles 90.00°, 90.00° and 90.00°. The distinct sites, in fractional coordinates, are Ca at (0.000, 0.000, 0.000), Mo at (0.000, 0.000, 0.668), Ru at (0.000, 0.000, 0.328), O at (0.171, 0.171, 0.498), O at (0.212, 0.212, 0.804) and O at (0.216, 0.216, 0.185).

The total energy is -126.1 eV/cell.